SrCo2P2O7 | PBE+U | optimized geometry Values from VASP.

Geometry as Quantum ESPRESSO input:
```
&SYSTEM
  ibrav = 0, nat = 12, ntyp = 4
/
ATOMIC_SPECIES
O 16.00 O.upf
Co 58.93 Co.upf
Sr 87.62 Sr.upf
P 30.97 P.upf
ATOMIC_POSITIONS crystal
O 0.635 0.178 0.279
O 0.822 0.365 0.721
O 0.365 0.093 0.721
O 0.907 0.635 0.279
O 0.178 0.907 0.279
O 0.000 0.000 0.000
O 0.093 0.822 0.721
Co 0.746 0.746 0.763
Co 0.254 0.254 0.237
Sr 0.500 0.500 0.500
P 0.073 0.073 0.782
P 0.927 0.927 0.218
CELL_PARAMETERS angstrom
5.420 0.000 0.000
2.710 4.694 0.000
2.710 1.565 7.301
```

Properties
**Symmetry**: No. 155
**Magnetization**: 4.00 μB per cell
**Raw total energy**: -6.665 eV per atom